DFT (PBE-GGA) results for a geometry-optimized LiUO3 structure.

Formation energy (no corrections)   -2.92 eV per atom
Space-group type   R3c, No. 161
Size of the total moment   0.200 μB/atom

Cell: 5.9306 5.9306 5.9306 Å, 55.04 55.04 55.04°
Fractional coordinates of all 10 atoms:
Li1 0.5348 0.5348 0.5348
Li2 0.0348 0.0348 0.0348
U1 0.7618 0.7618 0.7618
U2 0.2618 0.2618 0.2618
O1 0.1553 0.4974 0.8708
O2 0.3708 0.9974 0.6553
O3 0.9974 0.6553 0.3708
O4 0.6553 0.3708 0.9974
O5 0.8708 0.1553 0.4974
O6 0.4974 0.8708 0.1553

=====

DFT (PBE-GGA) results for a geometry-optimized Li3UO4 structure.

Excess energy over the best structure of this formula in the dataset   0.206 eV/atom
Formation energy (no corrections)   -2.39 eV per atom
Space-group type   R3m, No. 160
Size of the total moment   0.125 μB/atom

Cell: 4.3990 4.3990 4.3990 Å, 99.06 99.06 99.06°
Fractional coordinates of all 8 atoms:
U1 0.1736 0.1736 0.1737
O1 0.8252 0.8252 0.8252
O2 0.6903 0.2592 0.2592
O3 0.2592 0.6903 0.2592
O4 0.2592 0.2592 0.6903
Li1 0.3449 0.7238 0.7238
Li2 0.7238 0.3449 0.7238
Li3 0.7238 0.7238 0.3449

=====

DFT (PBE-GGA) results for a geometry-optimized Li2U2O5 structure.

Formation energy (no corrections)   -2.48 eV per atom
Space-group type   P4/mmm, No. 123
Size of the total moment   0.347 μB/atom

Cell: 4.1420 4.1420 8.3251 Å, 90.00 90.00 90.00°
Fractional coordinates of all 9 atoms:
Li1 0.0000 0.0000 0.0000
Li2 0.0000 0.0000 0.5000
U1 0.5000 0.5000 0.2393
U2 0.5000 0.5000 0.7607
O1 0.5000 0.0000 0.1758
O2 0.5000 0.0000 0.8242
O3 0.5000 0.5000 0.5000
O4 0.0000 0.5000 0.1758
O5 0.0000 0.5000 0.8242

=====

Which value of formation energy (no corrections) does entry 1 give?
-2.92 eV per atom